No. 1
DFT (PBE-GGA) results for a relaxed structure of SiTcPb2.

It has space group Pm (No. 6), with a = 4.243 Å, b = 4.103 Å, c = 5.424 Å, α = 90.00°, β = 112.99° and γ = 90.00°. The distinct sites, in fractional coordinates, are Si at (0.000, 0.000, 0.000), Tc at (0.879, 0.500, 0.755), Pb at (0.285, 0.000, 0.568) and Pb at (0.585, 0.500, 0.167).

The calculation puts the total magnetization at 0.00 μB per cell. The density of states at the Fermi level is 2.47 states/eV per cell. The value obtained for the formation energy (no corrections) is 295 meV per atom.



No. 2
DFT (PBE-GGA) results for a relaxed structure of SiTc3Pb.

It has space group Pm-3m (No. 221), with a = 5.087 Å, b = 5.087 Å, c = 5.087 Å, α = 90.00°, β = 90.00° and γ = 90.00°. The distinct sites, in fractional coordinates, are Si at (0.000, 0.000, 0.000), Tc at (0.000, 0.500, 0.500) and Pb at (0.500, 0.500, 0.500).

The calculation puts the total magnetization at 7.95 μB per cell. The energy above the most stable polymorph in this dataset is 9.36 eV/f.u. The density of states at the Fermi level is 7.02 states/eV per cell. The value obtained for the formation energy (no corrections) is 2603 meV per atom.



No. 3
DFT (PBE-GGA) results for a relaxed structure of SiTcPb2.

It has space group Cm (No. 8), with a = 7.966 Å, b = 3.469 Å, c = 7.420 Å, α = 90.00°, β = 108.96° and γ = 90.00°. The distinct sites, in fractional coordinates, are Si at (0.000, 0.000, 0.000), Tc at (0.306, 0.000, 0.019), Pb at (0.097, 0.500, 0.699) and Pb at (0.256, 0.500, 0.320).

The calculation puts the total magnetization at 0.00 μB per cell. The density of states at the Fermi level is 5.44 states/eV per cell. The value obtained for the formation energy (no corrections) is 194 meV per atom.



No. 4
DFT (PBE-GGA) results for a relaxed structure of SiTcPb4.

It has space group F-43m (No. 216), with a = 8.857 Å, b = 8.857 Å, c = 8.857 Å, α = 90.00°, β = 90.00° and γ = 90.00°. The distinct sites, in fractional coordinates, are Si at (0.000, 0.000, 0.000), Tc at (0.250, 0.250, 0.750) and Pb at (0.125, 0.125, 0.375).

The calculation puts the total magnetization at 11.16 μB per cell. The density of states at the Fermi level is 18.75 states/eV per cell. The value obtained for the formation energy (no corrections) is 1096 meV per atom.



No. 5
DFT (PBE-GGA) results for a relaxed structure of SiTcPb2.

It has space group Pmmm (No. 47), with a = 3.600 Å, b = 4.533 Å, c = 5.270 Å, α = 90.00°, β = 90.00° and γ = 90.00°. The distinct sites, in fractional coordinates, are Si at (0.000, 0.000, 0.000), Tc at (0.500, 0.000, 0.500), Pb at (0.000, 0.500, 0.500) and Pb at (0.500, 0.500, 0.000).

The calculation puts the total magnetization at 0.00 μB per cell. The density of states at the Fermi level is 3.85 states/eV per cell. The value obtained for the formation energy (no corrections) is 864 meV per atom.



No. 6
DFT (PBE-GGA) results for a relaxed structure of SiTcPb2.

It has space group Immm (No. 71), with a = 3.805 Å, b = 5.155 Å, c = 8.717 Å, α = 90.00°, β = 90.00° and γ = 90.00°. The distinct sites, in fractional coordinates, are Si at (0.000, 0.000, 0.000), Tc at (0.000, 0.000, 0.500) and Pb at (0.000, 0.500, 0.253).

The calculation puts the total magnetization at 2.76 μB per cell. The density of states at the Fermi level is 5.73 states/eV per cell. The value obtained for the formation energy (no corrections) is 796 meV per atom.



No. 7
DFT (PBE-GGA) results for a relaxed structure of SiTcPb2.

It has space group P4/mmm (No. 123), with a = 3.410 Å, b = 3.410 Å, c = 7.415 Å, α = 90.00°, β = 90.00° and γ = 90.00°. The distinct sites, in fractional coordinates, are Si at (0.000, 0.000, 0.000), Tc at (0.000, 0.000, 0.500) and Pb at (0.500, 0.500, 0.276).

The calculation puts the total magnetization at 0.01 μB per cell. The density of states at the Fermi level is 3.75 states/eV per cell. The value obtained for the formation energy (no corrections) is 756 meV per atom.



No. 8
DFT (PBE-GGA) results for a relaxed structure of SiTcPb2.

It has space group I-4m2 (No. 119), with a = 4.366 Å, b = 4.366 Å, c = 9.170 Å, α = 90.00°, β = 90.00° and γ = 90.00°. The distinct sites, in fractional coordinates, are Si at (0.000, 0.000, 0.000), Tc at (0.000, 0.500, 0.750), Pb at (0.000, 0.000, 0.500) and Pb at (0.000, 0.500, 0.250).

The calculation puts the total magnetization at 3.52 μB per cell. The density of states at the Fermi level is 7.68 states/eV per cell. The value obtained for the formation energy (no corrections) is 853 meV per atom.



No. 9
DFT (PBE-GGA) results for a relaxed structure of SiTc3Pb.

It has space group Pm-3m (No. 221), with a = 4.495 Å, b = 4.495 Å, c = 4.495 Å, α = 90.00°, β = 90.00° and γ = 90.00°. The distinct sites, in fractional coordinates, are Si at (0.000, 0.000, 0.000), Tc at (0.000, 0.000, 0.500) and Pb at (0.500, 0.500, 0.500).

The calculation puts the total magnetization at 2.27 μB per cell. The energy above the most stable polymorph in this dataset is 0.00 eV/f.u. The density of states at the Fermi level is 2.60 states/eV per cell. The value obtained for the formation energy (no corrections) is 731 meV per atom.



No. 10
DFT (PBE-GGA) results for a relaxed structure of SiTcPb2.

It has space group R-3m (No. 166, hexagonal axes), with a = 3.2134 Å, b = 3.2134 Å, c = 29.9819 Å, α = 90.00°, β = 90.00° and γ = 120.00°. The distinct sites, in fractional coordinates, are Si at (0.0000, 0.0000, 0.0000), Tc at (0.0000, 0.0000, 0.5000) and Pb at (0.0000, 0.0000, 0.2406).

The calculation puts the total magnetization at 0.89 μB per cell. The density of states at the Fermi level is 7.07 states/eV per cell. The value obtained for the formation energy (no corrections) is 775 meV per atom.



No. 11
DFT (PBE-GGA) results for a relaxed structure of SiTcPb2.

It has space group R3m (No. 160, hexagonal axes), with a = 3.2558 Å, b = 3.2558 Å, c = 29.3504 Å, α = 90.00°, β = 90.00° and γ = 120.00°. The distinct sites, in fractional coordinates, are Si at (0.0000, 0.0000, 0.0000), Tc at (0.0000, 0.0000, 0.2814), Pb at (0.0000, 0.0000, 0.5357) and Pb at (0.0000, 0.0000, 0.7564).

The calculation puts the total magnetization at 0.00 μB per cell. The density of states at the Fermi level is 9.42 states/eV per cell. The value obtained for the formation energy (no corrections) is 258 meV per atom.



No. 12
DFT (PBE-GGA) results for a relaxed structure of SiTcPb2.

It has space group P4mm (No. 99), with a = 3.257 Å, b = 3.257 Å, c = 8.429 Å, α = 90.00°, β = 90.00° and γ = 90.00°. The distinct sites, in fractional coordinates, are Si at (0.000, 0.000, 0.000), Tc at (0.500, 0.500, 0.104), Pb at (0.000, 0.000, 0.358) and Pb at (0.500, 0.500, 0.736).

The calculation puts the total magnetization at 0.00 μB per cell. The density of states at the Fermi level is 2.62 states/eV per cell. The value obtained for the formation energy (no corrections) is 60 meV per atom.